[1]
InSi2W | Alexandria via LeMat-Bulk | PBE-GGA | relaxed; symmetry = Pmm2; raw total energy = -24.631 eV/f.u.; ΔE_f (raw) = 477 meV/atom
1.0
2.7738 0.0000 0.0000
0.0000 4.0330 0.0000
0.0000 0.0000 6.2649
Si In W
2 1 1
direct
0.5000 0.5000 0.2871 Si
0.0000 0.0000 0.0294 Si
0.5000 0.5000 0.7512 In
0.0000 0.0000 0.4323 W

[2]
InSi2W | Alexandria via LeMat-Bulk | PBE-GGA | relaxed; symmetry = I4/mmm; raw total energy = -24.050 eV/f.u.; ΔE_f (raw) = 622 meV/atom
1.0
4.7708 0.0012 0.0000
1.0951 4.6434 0.0000
-2.9329 -2.3223 2.9606
W In Si
1 1 2
direct
0.2500 0.7500 0.5000 W
0.7500 0.2500 0.5000 In
0.0000 0.0000 0.0000 Si
0.5000 0.5000 0.0000 Si

[3]
InSiW2 | Alexandria via LeMat-Bulk | PBE-GGA | relaxed; symmetry = Imm2; raw total energy = -32.185 eV/f.u.; energy relative to the lowest polymorph listed for this composition = 0.2586 eV/atom; ΔE_f (raw) = 471 meV/atom
1.0
-3.7762 2.6939 -2.4147
-0.9961 -1.4644 -4.9205
0.1628 -1.7580 4.9225
In W Si
1 2 1
direct
0.4963 0.4963 0.0000 In
0.0079 0.0079 0.0000 W
0.7655 0.2655 0.5000 W
0.2303 0.7303 0.5000 Si